VASP calculation (PBE with a Hubbard U) on TiW2O8 after structural relaxation.

Total magnetic moment, μB/atom: 0.000
Fermi-level density of states, states/eV/f.u.: 0.0
ρ, g cm⁻³: 6.6
Uncorrected energy, eV per atom: -7.80

abc: 5.0537 5.8194 10.5214
angles: 90.00 117.74 90.00
Closest atoms and distances in Å follow each position.
Fractional positions:
Ti: 0.0000 0.1252 0.2500  4 O 1.89-1.93
Ti: 0.0000 0.8748 0.7500  4 O 1.89-1.93
W: 0.2372 0.3388 0.9993  5 O 1.85-2.07
W: 0.2372 0.6612 0.4993  5 O 1.85-2.07
W: 0.7628 0.3388 0.5007  5 O 1.85-2.07
W: 0.7628 0.6612 0.0007  5 O 1.85-2.07
O: 0.1736 0.3927 0.6115  2 W 1.87-2.07
O: 0.1736 0.6073 0.1115  2 W 1.87-2.07
O: 0.2114 0.1587 0.1386  1 W 1.85, 1 Ti 1.93
O: 0.2114 0.8413 0.6386  1 W 1.85, 1 Ti 1.93
O: 0.2444 0.1040 0.8788  1 W 1.87, 1 Ti 1.89
O: 0.2444 0.8960 0.3788  1 W 1.87, 1 Ti 1.89
O: 0.3161 0.3839 0.3932  2 W 2.02-2.10, 1 Ti 2.20
O: 0.3161 0.6161 0.8932  2 W 2.02-2.10, 1 Ti 2.20
O: 0.6839 0.3839 0.1068  2 W 2.02-2.10, 1 Ti 2.20
O: 0.6839 0.6161 0.6068  2 W 2.02-2.10, 1 Ti 2.20
O: 0.7556 0.1040 0.6212  1 W 1.87, 1 Ti 1.89
O: 0.7556 0.8960 0.1212  1 W 1.87, 1 Ti 1.89
O: 0.7886 0.1587 0.3614  1 W 1.85, 1 Ti 1.93
O: 0.7886 0.8413 0.8614  1 W 1.85, 1 Ti 1.93
O: 0.8264 0.3927 0.8885  2 W 1.87-2.07
O: 0.8264 0.6073 0.3885  2 W 1.87-2.07